[1]
# Ir2WCl | Alexandria via LeMat-Bulk | PBE-GGA | optimized geometry
data_Ir2WCl
_space_group_name_H-M_alt 'P 1'
_space_group_IT_number 1
_cell_length_a 9.958
_cell_length_b 9.958
_cell_length_c 9.958
_cell_angle_alpha 16.31
_cell_angle_beta 16.31
_cell_angle_gamma 16.31
loop_
_space_group_symop_operation_xyz
'x,y,z'
loop_
_atom_site_label
_atom_site_type_symbol
_atom_site_fract_x
_atom_site_fract_y
_atom_site_fract_z
_atom_site_occupancy
W1 W 0.502 0.502 0.502 1
Cl1 Cl 0.771 0.771 0.771 1
Ir1 Ir 0.985 0.985 0.985 1
Ir2 Ir 0.242 0.242 0.242 1
# **Uncorrected formation energy**: 0.28 eV/atom
# **Excess energy over the best structure of this formula in the dataset**: 30.4 kJ/mol of formula units

---

[2]
# Ir2WCl | Alexandria via LeMat-Bulk | PBE-GGA | optimized geometry
data_Ir2WCl
_space_group_name_H-M_alt 'P 1'
_space_group_IT_number 1
_cell_length_a 2.825
_cell_length_b 2.825
_cell_length_c 9.265
_cell_angle_alpha 90.00
_cell_angle_beta 90.00
_cell_angle_gamma 119.43
loop_
_space_group_symop_operation_xyz
'x,y,z'
loop_
_atom_site_label
_atom_site_type_symbol
_atom_site_fract_x
_atom_site_fract_y
_atom_site_fract_z
_atom_site_occupancy
W1 W 0.500 0.500 0.250 1
Ir1 Ir 0.000 0.000 0.489 1
Ir2 Ir 0.000 0.000 0.011 1
Cl1 Cl 0.500 0.500 0.750 1
# **Uncorrected formation energy**: 0.46 eV/atom
# **Excess energy over the best structure of this formula in the dataset**: 96.5 kJ/mol of formula units

---

[3]
# IrW2Cl | Alexandria via LeMat-Bulk | PBE-GGA | optimized geometry
data_IrW2Cl
_space_group_name_H-M_alt 'P 1'
_space_group_IT_number 1
_cell_length_a 5.295
_cell_length_b 5.295
_cell_length_c 5.295
_cell_angle_alpha 148.06
_cell_angle_beta 127.63
_cell_angle_gamma 62.67
loop_
_space_group_symop_operation_xyz
'x,y,z'
loop_
_atom_site_label
_atom_site_type_symbol
_atom_site_fract_x
_atom_site_fract_y
_atom_site_fract_z
_atom_site_occupancy
Cl1 Cl 0.750 0.250 0.500 1
W1 W 0.981 0.981 0.000 1
W2 W 0.519 0.519 0.000 1
Ir1 Ir 0.250 0.750 0.500 1
# **Uncorrected formation energy**: 0.82 eV/atom
# **Excess energy over the best structure of this formula in the dataset**: 235.3 kJ/mol of formula units

---

[4]
# Ir2WCl | Alexandria via LeMat-Bulk | PBE-GGA | optimized geometry
data_Ir2WCl
_space_group_name_H-M_alt 'P 1'
_space_group_IT_number 1
_cell_length_a 7.725
_cell_length_b 7.725
_cell_length_c 7.725
_cell_angle_alpha 159.35
_cell_angle_beta 148.51
_cell_angle_gamma 37.96
loop_
_space_group_symop_operation_xyz
'x,y,z'
loop_
_atom_site_label
_atom_site_type_symbol
_atom_site_fract_x
_atom_site_fract_y
_atom_site_fract_z
_atom_site_occupancy
Ir1 Ir 0.640 0.140 0.500 1
Ir2 Ir 0.043 0.043 0.000 1
W1 W 0.476 0.476 0.000 1
Cl1 Cl 0.341 0.841 0.500 1
# **Uncorrected formation energy**: 0.42 eV/atom
# **Excess energy over the best structure of this formula in the dataset**: 81.4 kJ/mol of formula units

---

[5]
# IrW2Cl | Alexandria via LeMat-Bulk | PBE-GGA | optimized geometry
data_IrW2Cl
_space_group_name_H-M_alt 'P 1'
_space_group_IT_number 1
_cell_length_a 2.856
_cell_length_b 2.856
_cell_length_c 8.510
_cell_angle_alpha 90.00
_cell_angle_beta 90.00
_cell_angle_gamma 90.00
loop_
_space_group_symop_operation_xyz
'x,y,z'
loop_
_atom_site_label
_atom_site_type_symbol
_atom_site_fract_x
_atom_site_fract_y
_atom_site_fract_z
_atom_site_occupancy
W1 W 0.000 0.000 0.002 1
W2 W 0.500 0.500 0.248 1
Cl1 Cl 0.000 0.000 0.447 1
Ir1 Ir 0.500 0.500 0.802 1
# **Uncorrected formation energy**: 0.31 eV/atom
# **Excess energy over the best structure of this formula in the dataset**: 38.6 kJ/mol of formula units

---

[6]
# Ir2WCl | Alexandria via LeMat-Bulk | PBE-GGA | optimized geometry
data_Ir2WCl
_space_group_name_H-M_alt 'P 1'
_space_group_IT_number 1
_cell_length_a 4.703
_cell_length_b 4.703
_cell_length_c 4.703
_cell_angle_alpha 128.18
_cell_angle_beta 128.18
_cell_angle_gamma 76.34
loop_
_space_group_symop_operation_xyz
'x,y,z'
loop_
_atom_site_label
_atom_site_type_symbol
_atom_site_fract_x
_atom_site_fract_y
_atom_site_fract_z
_atom_site_occupancy
Cl1 Cl 0.250 0.750 0.500 1
W1 W 0.750 0.250 0.500 1
Ir1 Ir 0.000 0.000 0.000 1
Ir2 Ir 0.500 0.500 0.000 1
# **Uncorrected formation energy**: 0.84 eV/atom
# **Excess energy over the best structure of this formula in the dataset**: 243.8 kJ/mol of formula units

---

[7]
# IrW3Cl | Alexandria via LeMat-Bulk | PBE-GGA | optimized geometry
data_IrW3Cl
_space_group_name_H-M_alt 'P 1'
_space_group_IT_number 1
_cell_length_a 4.354
_cell_length_b 4.354
_cell_length_c 4.354
_cell_angle_alpha 90.00
_cell_angle_beta 90.00
_cell_angle_gamma 90.00
loop_
_space_group_symop_operation_xyz
'x,y,z'
loop_
_atom_site_label
_atom_site_type_symbol
_atom_site_fract_x
_atom_site_fract_y
_atom_site_fract_z
_atom_site_occupancy
Ir1 Ir 0.500 0.500 0.500 1
Cl1 Cl 0.000 0.000 0.000 1
W1 W 0.500 0.000 0.000 1
W2 W 0.000 0.500 0.000 1
W3 W 0.000 0.000 0.500 1
# **Uncorrected formation energy**: 1.49 eV/atom
# **Excess energy over the best structure of this formula in the dataset**: 0.0 kJ/mol of formula units

---

[8]
# Ir2WCl | Alexandria via LeMat-Bulk | PBE-GGA | optimized geometry
data_Ir2WCl
_space_group_name_H-M_alt 'P 1'
_space_group_IT_number 1
_cell_length_a 5.014
_cell_length_b 5.014
_cell_length_c 4.533
_cell_angle_alpha 89.70
_cell_angle_beta 89.70
_cell_angle_gamma 32.52
loop_
_space_group_symop_operation_xyz
'x,y,z'
loop_
_atom_site_label
_atom_site_type_symbol
_atom_site_fract_x
_atom_site_fract_y
_atom_site_fract_z
_atom_site_occupancy
Cl1 Cl 0.250 0.250 0.250 1
W1 W 0.750 0.750 0.750 1
Ir1 Ir 0.475 0.475 0.507 1
Ir2 Ir 0.025 0.025 0.993 1
# **Uncorrected formation energy**: 0.54 eV/atom
# **Excess energy over the best structure of this formula in the dataset**: 130.6 kJ/mol of formula units